## GaSBr2N (GGA-PBEsol)

Data for a relaxed structure of GaSBr2N.

Structure (CIF):
```
data_GaSBr2N
_cell_length_a 3.190
_cell_length_b 6.225
_cell_length_c 6.225
_cell_angle_alpha 90.00
_cell_angle_beta 90.00
_cell_angle_gamma 90.00
_symmetry_space_group_name_H-M 'P 1'
_symmetry_Int_Tables_number 1
loop_
_symmetry_equiv_pos_as_xyz
'x,y,z'
loop_
_atom_site_label
_atom_site_type_symbol
_atom_site_fract_x
_atom_site_fract_y
_atom_site_fract_z
_atom_site_occupancy
S1 S 0.500 0.000 0.000 1
Ga1 Ga 0.500 0.500 0.500 1
Br1 Br 0.000 0.000 0.500 1
Br2 Br 0.000 0.500 0.000 1
N1 N 0.000 0.000 0.000 1
```

Properties
Calculated volume (Å³ per atom): 24.73
Total magnetic moment (Bohr magnetons per cell): 0.00
E (hartree per atom): -0.1255
Calculated density (g/cm3): 3.70